Run 1
# LiW2Au (SCAN, single point on PBEsol structure)
data_LiW2Au
_cell_length_a 3.1523
_cell_length_b 4.3873
_cell_length_c 9.0839
_cell_angle_alpha 90.00
_cell_angle_beta 90.00
_cell_angle_gamma 90.00
_symmetry_space_group_name_H-M 'C m m 2'
_symmetry_Int_Tables_number 35
loop_
_symmetry_equiv_pos_as_xyz
'x,y,z'
'-x,-y,z'
'-x,y,z'
'x,-y,z'
'x+1/2,y+1/2,z'
'-x+1/2,-y+1/2,z'
'-x+1/2,y+1/2,z'
'x+1/2,-y+1/2,z'
loop_
_atom_site_label
_atom_site_type_symbol
_atom_site_fract_x
_atom_site_fract_y
_atom_site_fract_z
Li1 Li 0.0000 0.0000 0.0000
W1 W 0.0000 0.0000 0.5036
W2 W 0.0000 0.5000 0.2629
Au1 Au 0.0000 0.5000 0.7649
# magnetization	0.000	μB/atom



Run 2
# LiW2Au (SCAN, single point on PBEsol structure)
data_LiW2Au
_cell_length_a 4.0394
_cell_length_b 4.0394
_cell_length_c 7.4020
_cell_angle_alpha 90.00
_cell_angle_beta 90.00
_cell_angle_gamma 90.00
_symmetry_space_group_name_H-M 'I -4 m 2'
_symmetry_Int_Tables_number 119
_symmetry_space_group_name_Hall 'I -4 -2'
loop_
_atom_site_label
_atom_site_type_symbol
_atom_site_fract_x
_atom_site_fract_y
_atom_site_fract_z
Li1 Li 0.0000 0.0000 0.0000
W1 W 0.0000 0.0000 0.5000
W2 W 0.0000 0.5000 0.2500
Au1 Au 0.0000 0.5000 0.7500
# magnetization	0.000	μB/atom



Most favorable structure: run 1. The second most favorable one is 0.239 eV/atom above it.



Run 1
# Li2YAu (SCAN, single point on PBEsol structure)
data_Li2YAu
_cell_length_a 3.7191
_cell_length_b 3.9685
_cell_length_c 6.0957
_cell_angle_alpha 90.00
_cell_angle_beta 107.36
_cell_angle_gamma 90.00
_symmetry_space_group_name_H-M 'P 1 m 1'
_symmetry_Int_Tables_number 6
loop_
_symmetry_equiv_pos_as_xyz
'x,y,z'
'x,-y,z'
loop_
_atom_site_label
_atom_site_type_symbol
_atom_site_fract_x
_atom_site_fract_y
_atom_site_fract_z
Li1 Li 0.0000 0.0000 0.0000
Li2 Li 0.4372 0.5000 0.8782
Y1 Y 0.7140 0.5000 0.4212
Au1 Au 0.2987 0.0000 0.5948
# magnetization	0.000	μB/atom



Run 2
# Li2YAu (SCAN, single point on PBEsol structure)
data_Li2YAu
_cell_length_a 6.7564
_cell_length_b 6.7564
_cell_length_c 6.7564
_cell_angle_alpha 90.00
_cell_angle_beta 90.00
_cell_angle_gamma 90.00
_symmetry_space_group_name_H-M 'F -4 3 m'
_symmetry_Int_Tables_number 216
_symmetry_space_group_name_Hall 'F -4 2 3'
loop_
_atom_site_label
_atom_site_type_symbol
_atom_site_fract_x
_atom_site_fract_y
_atom_site_fract_z
Li1 Li 0.0000 0.0000 0.0000
Li2 Li 0.2500 0.2500 0.2500
Y1 Y 0.2500 0.2500 0.7500
Au1 Au 0.0000 0.0000 0.5000
# magnetization	0.003	μB/atom



Most favorable structure: run 2. The second most favorable one is 0.014 eV/atom above it.



Run 1
# Li2YAu (SCAN, single point on PBEsol structure)
data_Li2YAu
_cell_length_a 3.4856
_cell_length_b 5.0693
_cell_length_c 4.6876
_cell_angle_alpha 90.00
_cell_angle_beta 92.95
_cell_angle_gamma 90.00
_symmetry_space_group_name_H-M 'P 1 2/m 1'
_symmetry_Int_Tables_number 10
loop_
_symmetry_equiv_pos_as_xyz
'x,y,z'
'-x,-y,-z'
'-x,y,-z'
'x,-y,z'
loop_
_atom_site_label
_atom_site_type_symbol
_atom_site_fract_x
_atom_site_fract_y
_atom_site_fract_z
Li1 Li 0.1823 0.0000 0.2862
Y1 Y 0.5000 0.5000 0.0000
Au1 Au 0.0000 0.5000 0.5000
# magnetization	0.000	μB/atom



Run 2
# Li2YAu (SCAN, single point on PBEsol structure)
data_Li2YAu
_cell_length_a 3.5094
_cell_length_b 3.5094
_cell_length_c 6.7318
_cell_angle_alpha 90.00
_cell_angle_beta 90.00
_cell_angle_gamma 90.00
_symmetry_space_group_name_H-M 'P 4 m m'
_symmetry_Int_Tables_number 99
loop_
_symmetry_equiv_pos_as_xyz
'x,y,z'
'-y,x,z'
'-x,-y,z'
'y,-x,z'
'-x,y,z'
'y,x,z'
'x,-y,z'
'-y,-x,z'
loop_
_atom_site_label
_atom_site_type_symbol
_atom_site_fract_x
_atom_site_fract_y
_atom_site_fract_z
Li1 Li 0.0000 0.0000 0.0000
Li2 Li 0.5000 0.5000 0.1951
Y1 Y 0.0000 0.0000 0.5541
Au1 Au 0.5000 0.5000 0.7855
# magnetization	0.040	μB/atom



Most favorable structure: run 2. The second most favorable one is 0.059 eV/atom above it.



Run 1
# LiZnAu (SCAN, single point on PBEsol structure)
data_LiZnAu
_cell_length_a 4.3113
_cell_length_b 4.3113
_cell_length_c 2.6895
_cell_angle_alpha 90.00
_cell_angle_beta 90.00
_cell_angle_gamma 120.00
_symmetry_space_group_name_H-M 'P 3 m 1'
_symmetry_Int_Tables_number 156
loop_
_symmetry_equiv_pos_as_xyz
'x,y,z'
'-y,x-y,z'
'-x+y,-x,z'
'-y,-x,z'
'-x+y,y,z'
'x,x-y,z'
loop_
_atom_site_label
_atom_site_type_symbol
_atom_site_fract_x
_atom_site_fract_y
_atom_site_fract_z
Li1 Li 0.0000 0.0000 0.0000
Zn1 Zn 0.3333 0.6667 0.7310
Au1 Au 0.6667 0.3333 0.3590
# magnetization	0.000	μB/atom



Run 2
# LiZnAu (SCAN, single point on PBEsol structure)
data_LiZnAu
_cell_length_a 2.8324
_cell_length_b 3.7818
_cell_length_c 8.1501
_cell_angle_alpha 90.00
_cell_angle_beta 90.00
_cell_angle_gamma 90.00
_symmetry_space_group_name_H-M 'I m m 2'
_symmetry_Int_Tables_number 44
loop_
_symmetry_equiv_pos_as_xyz
'x,y,z'
'-x,-y,z'
'-x,y,z'
'x,-y,z'
'x+1/2,y+1/2,z+1/2'
'-x+1/2,-y+1/2,z+1/2'
'-x+1/2,y+1/2,z+1/2'
'x+1/2,-y+1/2,z+1/2'
loop_
_atom_site_label
_atom_site_type_symbol
_atom_site_fract_x
_atom_site_fract_y
_atom_site_fract_z
Li1 Li 0.0000 0.0000 0.0000
Zn1 Zn 0.0000 0.0000 0.3302
Au1 Au 0.0000 0.0000 0.6635
# magnetization	0.000	μB/atom



Run 3
# LiZnAu (SCAN, single point on PBEsol structure)
data_LiZnAu
_cell_length_a 6.0107
_cell_length_b 6.0107
_cell_length_c 6.0107
_cell_angle_alpha 90.00
_cell_angle_beta 90.00
_cell_angle_gamma 90.00
_symmetry_space_group_name_H-M 'F -4 3 m'
_symmetry_Int_Tables_number 216
_symmetry_space_group_name_Hall 'F -4 2 3'
loop_
_atom_site_label
_atom_site_type_symbol
_atom_site_fract_x
_atom_site_fract_y
_atom_site_fract_z
Li1 Li 0.0000 0.0000 0.0000
Zn1 Zn 0.0000 0.0000 0.5000
Au1 Au 0.2500 0.2500 0.2500
# magnetization	0.000	μB/atom



Most favorable structure: run 2. The second most favorable one is 0.009 eV/atom above it.



Run 1
# Li2ZrAu (SCAN, single point on PBEsol structure)
data_Li2ZrAu
_cell_length_a 2.9117
_cell_length_b 2.9117
_cell_length_c 28.8528
_cell_angle_alpha 90.00
_cell_angle_beta 90.00
_cell_angle_gamma 120.00
_symmetry_space_group_name_H-M 'R -3 m'
_symmetry_Int_Tables_number 166
_symmetry_space_group_name_Hall '-R 3 2"'
loop_
_atom_site_label
_atom_site_type_symbol
_atom_site_fract_x
_atom_site_fract_y
_atom_site_fract_z
Li1 Li 0.0000 0.0000 0.2397
Zr1 Zr 0.0000 0.0000 0.0000
Au1 Au 0.0000 0.0000 0.5000
# magnetization	0.000	μB/atom



Run 2
# Li2ZrAu (SCAN, single point on PBEsol structure)
data_Li2ZrAu
_cell_length_a 4.3212
_cell_length_b 4.3212
_cell_length_c 6.5226
_cell_angle_alpha 90.00
_cell_angle_beta 90.00
_cell_angle_gamma 90.00
_symmetry_space_group_name_H-M 'I 4/m m m'
_symmetry_Int_Tables_number 139
_symmetry_space_group_name_Hall '-I 4 2'
loop_
_atom_site_label
_atom_site_type_symbol
_atom_site_fract_x
_atom_site_fract_y
_atom_site_fract_z
Li1 Li 0.0000 0.5000 0.2500
Zr1 Zr 0.0000 0.0000 0.0000
Au1 Au 0.0000 0.0000 0.5000
# magnetization	0.000	μB/atom



Most favorable structure: run 2. The second most favorable one is 0.135 eV/atom above it.



Run 1
# Mg2MoAu (SCAN, single point on PBEsol structure)
data_Mg2MoAu
_cell_length_a 2.9096
_cell_length_b 4.7730
_cell_length_c 10.0084
_cell_angle_alpha 90.00
_cell_angle_beta 90.00
_cell_angle_gamma 90.00
_symmetry_space_group_name_H-M 'I m m 2'
_symmetry_Int_Tables_number 44
loop_
_symmetry_equiv_pos_as_xyz
'x,y,z'
'-x,-y,z'
'-x,y,z'
'x,-y,z'
'x+1/2,y+1/2,z+1/2'
'-x+1/2,-y+1/2,z+1/2'
'-x+1/2,y+1/2,z+1/2'
'x+1/2,-y+1/2,z+1/2'
loop_
_atom_site_label
_atom_site_type_symbol
_atom_site_fract_x
_atom_site_fract_y
_atom_site_fract_z
Mg1 Mg 0.0000 0.0000 0.0000
Mg2 Mg 0.0000 0.5000 0.2234
Mo1 Mo 0.0000 0.5000 0.7552
Au1 Au 0.0000 0.0000 0.4908
# magnetization	0.000	μB/atom



Run 2
# Mg2MoAu (SCAN, single point on PBEsol structure)
data_Mg2MoAu
_cell_length_a 6.4652
_cell_length_b 6.4652
_cell_length_c 6.4652
_cell_angle_alpha 90.00
_cell_angle_beta 90.00
_cell_angle_gamma 90.00
_symmetry_space_group_name_H-M 'F m -3 m'
_symmetry_Int_Tables_number 225
_symmetry_space_group_name_Hall '-F 4 2 3'
loop_
_atom_site_label
_atom_site_type_symbol
_atom_site_fract_x
_atom_site_fract_y
_atom_site_fract_z
Mg1 Mg 0.2500 0.2500 0.2500
Mo1 Mo 0.0000 0.0000 0.0000
Au1 Au 0.0000 0.0000 0.5000
# magnetization	0.665	μB/atom



Most favorable structure: run 2. The second most favorable one is 0.053 eV/atom above it.